Entry 1:
Compound: Ni3Te8Rh2
Source: Alexandria via LeMat-Bulk
Functional: PBE
Structure: relaxed

Summary:
total magnetic moment = 0.00 μB/cell
space group = C2/m, No. 12
volume = 293.9 Å³/cell
Fermi-level density of states = 0.5813 states/eV per atom
uncorrected formation energy = -0.26 eV/atom
E = -4.654 eV/atom

Geometry as POSCAR:
```
Ni3Te8Rh2
1.0
5.487 -4.021 0.000
5.487 4.021 0.000
-0.062 0.000 6.661
Ni Te Rh
3 8 2
direct
0.000 0.000 0.000
0.254 0.746 0.500
0.746 0.254 0.500
0.122 0.122 0.343
0.129 0.634 0.157
0.366 0.871 0.843
0.368 0.368 0.628
0.632 0.632 0.372
0.634 0.129 0.157
0.871 0.366 0.843
0.878 0.878 0.657
0.262 0.262 0.980
0.738 0.738 0.020
```



Entry 2:
Compound: CaSmCu10
Source: Alexandria via LeMat-Bulk
Functional: PBE
Structure: relaxed

Summary:
total magnetic moment = 0.00 μB/cell
space group = Pmmm, No. 47
volume = 183.5 Å³/cell
Fermi-level density of states = 0.5143 states/eV per atom
E = -4.124 eV/atom
ΔH_f (0 K) = -3.5 kcal/mol of atoms

Geometry as POSCAR:
```
CaSmCu10
1.0
4.060 0.000 0.000
0.000 5.130 0.000
0.000 0.000 8.812
Ca Sm Cu
1 1 10
direct
0.000 0.000 0.000
0.000 0.500 0.500
0.000 0.000 0.333
0.000 0.000 0.667
0.000 0.500 0.166
0.000 0.500 0.834
0.500 0.000 0.500
0.500 0.252 0.252
0.500 0.252 0.748
0.500 0.500 0.000
0.500 0.748 0.252
0.500 0.748 0.748
```